Version P
A relaxed structure of LiZnPt. Source: Alexandria via LeMat-Bulk, functional GGA-PBEsol.

Lattice parameters (Å, degrees): 2.7274 2.7274 6.5568 90.00 90.00 120.00
Sites, in units of the cell vectors:
Li 0.0000 0.0000 0.9909
Pt 0.3333 0.6667 0.6726
Zn 0.6667 0.3333 0.3364

Density, Mg/m³: 10.51
Crystal system: trigonal

---

Version Q
A relaxed structure of LiZnPt. Source: Alexandria via LeMat-Bulk, functional GGA-PBEsol.

Lattice parameters (Å, degrees): 2.7107 4.1041 4.1041 120.00 90.00 90.00
Sites, in units of the cell vectors:
Li 0.0674 0.0000 0.0000
Zn 0.2511 0.6667 0.3333
Pt 0.6816 0.3333 0.6667

Density, Mg/m³: 11.23
Crystal system: trigonal

---

Which structure is the most stable? The one labeled version Q.

---

Version P
A relaxed structure of LiZnPt. Source: Alexandria via LeMat-Bulk, functional GGA-PBEsol.

Lattice parameters (Å, degrees): 2.7578 3.7644 4.5377 114.51 107.69 90.00
Sites, in units of the cell vectors:
Zn 0.3279 0.3279 0.6558
Li 0.0028 0.0028 0.0056
Pt 0.6693 0.6693 0.3386

Density, Mg/m³: 10.99
Crystal system: orthorhombic

---

Version Q
A relaxed structure of LiZnPt. Source: Alexandria via LeMat-Bulk, functional GGA-PBEsol.

Lattice parameters (Å, degrees): 3.0225 3.0225 4.7831 108.42 108.42 90.00
Sites, in units of the cell vectors:
Zn 0.3360 0.3360 0.6720
Li 0.0013 0.0013 0.0026
Pt 0.6627 0.6627 0.3254

Density, Mg/m³: 11.36
Crystal system: tetragonal

---

Which structure is the most stable? The one labeled version P.

---

Version P
A relaxed structure of LiZrPt2. Source: Alexandria via LeMat-Bulk, functional GGA-PBEsol.

Lattice parameters (Å, degrees): 3.3419 3.3419 5.6539 90.00 90.00 90.00
Sites, in units of the cell vectors:
Zr 0.5000 0.5000 0.0000
Pt 0.0000 0.0000 0.7382
Li 0.5000 0.5000 0.5000
Pt 0.0000 0.0000 0.2618

Density, Mg/m³: 12.84
Crystal system: tetragonal

---

Version Q
A relaxed structure of LiZrPt2. Source: Alexandria via LeMat-Bulk, functional GGA-PBEsol.

Lattice parameters (Å, degrees): 3.4912 3.4912 5.3481 90.00 90.00 90.00
Sites, in units of the cell vectors:
Zr 0.0000 0.0000 0.4791
Pt 0.5000 0.5000 0.2670
Pt 0.0000 0.0000 0.9621
Li 0.5000 0.5000 0.7919

Density, Mg/m³: 12.44
Crystal system: tetragonal

---

Version R
A relaxed structure of LiZrPt2. Source: Alexandria via LeMat-Bulk, functional GGA-PBEsol.

Lattice parameters (Å, degrees): 3.8557 3.8557 4.9982 112.69 112.69 90.00
Sites, in units of the cell vectors:
Pt 0.0000 0.0000 0.0000
Li 0.2500 0.7500 0.5000
Pt 0.7500 0.2500 0.5000
Zr 0.5000 0.5000 0.0000

Density, Mg/m³: 13.02
Crystal system: tetragonal

---

Which structure is the most stable? The one labeled version P.

---

Version P
A relaxed structure of LiZrPt. Source: Alexandria via LeMat-Bulk, functional GGA-PBEsol.

Lattice parameters (Å, degrees): 2.8613 4.4084 4.4084 120.00 90.00 90.00
Sites, in units of the cell vectors:
Li 0.8931 0.0000 0.0000
Zr 0.3283 0.6667 0.3333
Pt 0.7786 0.3333 0.6667

Density, Mg/m³: 10.11
Crystal system: trigonal

---

Version Q
A relaxed structure of LiZrPt. Source: Alexandria via LeMat-Bulk, functional GGA-PBEsol.

Lattice parameters (Å, degrees): 4.3646 4.3646 4.3646 60.00 60.00 60.00
Sites, in units of the cell vectors:
Li 0.5000 0.5000 0.5000
Zr 0.0000 0.0000 0.0000
Pt 0.2500 0.2500 0.2500

Density, Mg/m³: 8.28
Crystal system: cubic

---

Which structure is the most stable? The one labeled version P.

---

Version P
A relaxed structure of Li2ZrPt. Source: Alexandria via LeMat-Bulk, functional GGA-PBEsol.

Lattice parameters (Å, degrees): 3.3939 3.3909 6.2914 90.00 90.04 90.00
Sites, in units of the cell vectors:
Zr 0.4998 0.5000 0.6973
Li 0.0002 0.0000 0.0475
Li 0.5005 0.5000 0.2488
Pt 0.9995 0.0000 0.5064

Density, Mg/m³: 6.88
Crystal system: tetragonal

---

Version Q
A relaxed structure of Li2ZrPt. Source: Alexandria via LeMat-Bulk, functional GGA-PBEsol.

Lattice parameters (Å, degrees): 2.8563 4.8088 4.8400 90.00 90.00 93.12
Sites, in units of the cell vectors:
Li 0.8077 0.7215 0.0000
Li 0.1923 0.2785 0.0000
Zr 0.5000 0.0000 0.5000
Pt 0.0000 0.5000 0.5000

Density, Mg/m³: 7.51
Crystal system: monoclinic

---

Version R
A relaxed structure of Li2ZrPt. Source: Alexandria via LeMat-Bulk, functional GGA-PBEsol.

Lattice parameters (Å, degrees): 4.4718 4.4718 4.4718 60.00 60.00 60.00
Sites, in units of the cell vectors:
Li 0.7500 0.7500 0.7500
Zr 0.0000 0.0000 0.0000
Li 0.5000 0.5000 0.5000
Pt 0.2500 0.2500 0.2500

Density, Mg/m³: 7.88
Crystal system: cubic

---

Which structure is the most stable? The one labeled version R.

---

Version P
A relaxed structure of RbLiSb2Te. Source: Alexandria via LeMat-Bulk, functional GGA-PBEsol.

Lattice parameters (Å, degrees): 5.1167 5.1167 5.4452 90.00 90.00 90.00
Sites, in units of the cell vectors:
Sb 0.0000 0.5000 0.0000
Te 0.0000 0.0000 0.5000
Sb 0.5000 0.0000 0.0000
Rb 0.5000 0.5000 0.5000
Li 0.0000 0.0000 0.0000

Density, Mg/m³: 5.40
Crystal system: tetragonal

---

Version Q
A relaxed structure of RbLiSb2Te. Source: Alexandria via LeMat-Bulk, functional GGA-PBEsol.

Lattice parameters (Å, degrees): 5.9476 5.9476 6.1367 90.00 90.00 90.00
Sites, in units of the cell vectors:
Li 0.5000 0.5000 0.5000
Sb 0.0000 0.5000 0.0000
Sb 0.5000 0.0000 0.0000
Rb 0.0000 0.0000 0.0000
Te 0.0000 0.0000 0.5000

Density, Mg/m³: 3.55
Crystal system: tetragonal

---

Which structure is the most stable? The one labeled version P.